Record 1
Compound: TbCeZn2In2
Source: Alexandria via LeMat-Bulk
Functional: GGA-PBE
Structure: relaxed

Results
Space group   P-3m1
Uncorrected energy   -3.479 eV per atom

Cell: 4.711 4.711 7.427 Å, 90.00 90.00 120.00°
Site moments in Bohr magnetons follow the coordinates.
Fractional positions:
Ce 0.000 0.000 0.000  0.84
Zn 0.333 0.667 0.271  0.00
Zn 0.667 0.333 0.729  0.00
In 0.333 0.667 0.743  0.00
In 0.667 0.333 0.257  0.00
Tb 0.000 0.000 0.500  0.09

=====

Record 2
Compound: TbCeZrIn
Source: Alexandria via LeMat-Bulk
Functional: GGA-PBE
Structure: relaxed

Results
Space group   F-43m
Uncorrected energy   -5.499 eV per atom

Cell: 5.246 5.246 5.246 Å, 60.00 60.00 60.00°
Site moments in Bohr magnetons follow the coordinates.
Fractional positions:
In 0.250 0.250 0.250  -0.01
Ce 0.750 0.750 0.750  0.23
Tb 0.000 0.000 0.000  0.05
Zr 0.500 0.500 0.500  0.10

=====

Record 3
Compound: Ce5In2Tc2
Source: Alexandria via LeMat-Bulk
Functional: GGA-PBE
Structure: relaxed

Results
Space group   Cmce
Uncorrected energy   -6.355 eV per atom

Cell: 7.881 7.485 8.846 Å, 115.03 90.00 90.00°
Site moments in Bohr magnetons follow the coordinates.
Fractional positions:
Tc 0.864 0.362 0.000  -0.03
Tc 0.364 0.138 0.000  -0.03
Tc 0.136 0.638 0.000  -0.03
Tc 0.636 0.862 0.000  -0.03
Ce 0.324 0.711 0.772  0.10
Ce 0.176 0.211 0.772  0.10
Ce 0.324 0.940 0.228  0.10
Ce 0.676 0.060 0.772  0.10
Ce 0.176 0.440 0.228  0.10
Ce 0.500 0.500 0.000  0.10
Ce 0.824 0.789 0.228  0.10
Ce 0.676 0.289 0.228  0.10
Ce 0.000 0.000 0.000  0.10
Ce 0.824 0.560 0.772  0.10
In 0.000 0.778 0.555  0.00
In 0.500 0.278 0.555  0.00
In 0.500 0.722 0.445  0.00
In 0.000 0.222 0.445  0.00

=====

Record 4
Compound: Ce6In2Tc
Source: Alexandria via LeMat-Bulk
Functional: GGA-PBE
Structure: relaxed

Results
Space group   C2/m
Uncorrected energy   -5.891 eV per atom

Cell: 6.971 6.973 9.850 Å, 90.00 90.29 90.00°
Site moments in Bohr magnetons follow the coordinates.
Fractional positions:
In 0.996 0.500 0.750  0.00
In 0.496 0.000 0.250  0.00
In 0.004 0.500 0.250  0.00
In 0.504 0.000 0.750  0.00
Ce 0.995 0.000 0.228  0.15
Ce 0.272 0.729 0.502  0.15
Ce 0.772 0.771 0.002  0.15
Ce 0.505 0.500 0.272  0.15
Ce 0.495 0.500 0.728  0.15
Ce 0.728 0.271 0.498  0.15
Ce 0.228 0.771 0.998  0.15
Ce 0.228 0.229 0.998  0.15
Ce 0.772 0.229 0.002  0.15
Ce 0.005 0.000 0.772  0.15
Ce 0.272 0.271 0.502  0.15
Ce 0.728 0.729 0.498  0.15
Tc 0.500 0.500 0.000  -0.03
Tc 0.000 0.000 0.500  -0.03

=====

Record 5
Compound: Ce3InTc
Source: Alexandria via LeMat-Bulk
Functional: GGA-PBE
Structure: relaxed

Results
Space group   P2_1/m
Distance to the lowest polymorph of the same formula   0 meV/atom

Cell: 5.809 6.677 6.598 Å, 90.00 90.00 94.98°
Site moments in Bohr magnetons follow the coordinates.
Fractional positions:
Ce 0.906 0.188 0.978  0.03
Ce 0.906 0.188 0.522  0.03
Ce 0.094 0.812 0.022  0.03
Ce 0.094 0.812 0.478  0.03
Ce 0.600 0.647 0.750  0.08
Ce 0.400 0.353 0.250  0.08
In 0.411 0.149 0.750  0.00
In 0.589 0.851 0.250  0.00
Tc 0.799 0.474 0.250  -0.01
Tc 0.201 0.526 0.750  -0.01

=====

Record 6
Compound: CeInTc
Source: Alexandria via LeMat-Bulk
Functional: GGA-PBE
Structure: relaxed

Results
Space group   P2_1/m
Distance to the lowest polymorph of the same formula   37 meV/atom

Cell: 5.014 5.094 5.558 Å, 97.77 90.00 90.00°
Fractional positions:
Ce 0.750 0.582 0.808
Ce 0.250 0.418 0.192
In 0.250 0.004 0.648
In 0.750 0.996 0.352
Tc 0.250 0.858 0.117
Tc 0.750 0.142 0.883

=====

Record 7
Compound: Ce3InTc
Source: Alexandria via LeMat-Bulk
Functional: GGA-PBE
Structure: relaxed

Results
Space group   P-1
Distance to the lowest polymorph of the same formula   26 meV/atom

Cell: 5.588 6.548 6.900 Å, 97.98 95.60 87.46°
Fractional positions:
Tc 0.070 0.783 0.270
Tc 0.382 0.118 0.378
Ce 0.920 0.016 0.543
Ce 0.968 0.456 0.470
Ce 0.532 0.885 0.104
Ce 0.483 0.445 0.178
Ce 0.991 0.590 0.882
Ce 0.460 0.312 0.766
In 0.446 0.763 0.609
In 0.005 0.139 0.038

=====

Record 8
Compound: Ce4InTc2
Source: Alexandria via LeMat-Bulk
Functional: GGA-PBE
Structure: relaxed

Results
Space group   R-3m
Uncorrected energy   -6.716 eV per atom

Cell: 4.688 4.688 10.011 Å, 76.46 76.46 60.00°
Site moments in Bohr magnetons follow the coordinates.
Fractional positions:
Ce 0.707 0.707 0.879  0.17
Ce 0.293 0.293 0.121  0.17
Ce 0.892 0.892 0.323  0.44
Ce 0.108 0.108 0.677  0.44
In 0.500 0.500 0.500  0.02
Tc 0.398 0.398 0.805  -0.07
Tc 0.602 0.602 0.195  -0.07